Compound: Cs4CdF6
Source: the Alexandria database
Functional: GGA-PBE
Structure: optimized geometry

Geometry as POSCAR:
```
Cs4CdF6
1.0
-8.093 -0.987 0.124
0.658 -5.852 5.639
-0.467 5.722 5.790
F Cd Cs
12 2 8
Direct
0.071 0.267 0.060
0.571 0.440 0.233
0.767 0.571 0.560
0.429 0.560 0.767
0.929 0.733 0.940
0.060 0.929 0.267
0.440 0.767 0.429
0.233 0.429 0.440
0.733 0.060 0.071
0.267 0.940 0.929
0.940 0.071 0.733
0.560 0.233 0.571
0.000 0.000 0.000
0.500 0.500 0.500
0.885 0.250 0.385
0.615 0.885 0.750
0.750 0.750 0.250
0.250 0.615 0.115
0.250 0.250 0.750
0.115 0.750 0.615
0.385 0.115 0.250
0.750 0.385 0.885
```

Results
**Uncorrected formation energy**: -2.568 eV per atom
**Calculated total energy**: -87.621 eV/cell


Compound: LiCdCl2
Source: the Alexandria database
Functional: GGA-PBE
Structure: optimized geometry

Geometry as POSCAR:
```
LiCdCl2
1.0
6.565 0.030 0.000
5.372 3.773 0.000
-0.228 -0.073 4.231
Li Cl Cd
1 2 1
Direct
0.463 0.463 0.508
0.998 0.998 0.800
0.274 0.274 0.343
0.764 0.764 0.849
```

Results
**Excess energy over the best structure of this formula in the dataset**: 0.033 eV per atom
**Uncorrected formation energy**: -1.027 eV per atom
**Calculated total energy**: -10.631 eV/cell


Compound: Sm2Al2Ag3
Source: the Alexandria database
Functional: GGA-PBE
Structure: optimized geometry

Geometry as POSCAR:
```
Sm2Al2Ag3
1.0
3.577 0.000 0.000
0.000 4.399 0.000
0.000 -2.200 9.873
Al Ag Sm
2 3 2
Direct
0.500 0.285 0.571
0.500 0.715 0.429
0.500 0.430 0.860
0.500 0.570 0.140
0.000 0.000 0.000
0.000 0.153 0.307
0.000 0.847 0.693
```

Results
**Excess energy over the best structure of this formula in the dataset**: 0.061 eV per atom
**Formation energy from the elements**: -5.351 kcal/mol of atoms
**Calculated total energy**: -27.101 eV/cell